B2C after structural relaxation, computed with PBE.

a = 7.2198 Å, b = 7.2198 Å, c = 7.2198 Å
α = 160.98°, β = 160.45°, γ = 27.41°
Closest atoms and distances in Å follow each position.
Fractional positions:
B1 0.2963 0.0463 0.2500  4 B 1.79
B2 0.3915 0.6415 0.7500  2 C 1.65, 2 B 1.79
B3 0.6085 0.3585 0.2500  2 C 1.65, 2 B 1.79
B4 0.7037 0.9537 0.7500  4 B 1.79
C1 0.0302 0.2802 0.7500  2 C 1.46
C2 0.9698 0.7198 0.2500  2 C 1.46

space-group type = Imma (74)
excess energy over the best structure of this formula in the dataset = 186 meV per atom

***

ZrSc2Te after structural relaxation, computed with PBE.

a = 6.5608 Å, b = 6.5608 Å, c = 6.5608 Å
α = 101.72°, β = 101.72°, γ = 126.43°
Closest atoms and distances in Å follow each position.
Fractional positions:
Zr1 0.0000 0.0000 0.0000  2 Te 2.96, 4 Sc 3.23
Zr2 0.7500 0.2500 0.5000  2 Te 2.96, 4 Sc 3.23
Sc1 0.1614 0.1250 0.5364  2 Te 2.82, 2 Sc 3.02
Sc2 0.3750 0.8386 0.9636  2 Te 2.82, 2 Sc 3.02
Sc3 0.5886 0.6250 0.4636  2 Te 2.82, 2 Sc 3.02
Sc4 0.8750 0.4114 0.0364  2 Te 2.82, 2 Sc 3.02
Te1 0.2500 0.7500 0.5000  4 Sc 2.82, 2 Zr 2.96
Te2 0.5000 0.5000 0.0000  4 Sc 2.82, 2 Zr 2.96

space-group type = I-42d (122)
formation energy without anion corrections = -0.08 eV per atom

***

Calculated VASP energy (eV/atom), listed in the same order as above: -7.155, -6.172
Calculated V (Å³ per atom), listed in the same order as above: 6.84, 25.36